VASP calculation (PBE) on a relaxed PmSm3Tm6 crystal.

Unit cell a=9.8355 b=9.8355 c=6.8561 alpha=44.17 beta=44.17 gamma=60.00
Closest atoms and distances in Å follow each position.
Atoms (fractional coordinates):
Sm  0.6496  0.6496  0.0511  1 Sm 2.88, 1 Pm 2.89
Tm  0.7288  0.0712  0.8000  3 Sm 3.23-3.44
Sm  0.4000  0.4000  0.8000  2 Sm 2.88
Pm  0.9000  0.9000  0.3000  2 Sm 2.89
Sm  0.1505  0.1505  0.5484  1 Sm 2.88, 1 Pm 2.89
Tm  0.3999  0.7288  0.8000  3 Sm 3.23-3.44
Tm  0.0712  0.3999  0.8000  3 Sm 3.23-3.44
Tm  0.8999  0.5707  0.3002  1 Pm 3.24, 2 Sm 3.43
Tm  0.2292  0.8999  0.3002  1 Pm 3.24, 2 Sm 3.43
Tm  0.5707  0.2292  0.3002  1 Pm 3.24, 2 Sm 3.43

Values from the calculation:
space-group type: R32
DFT formation energy: 29.4 kJ per mole of atoms